# ZrScB4

A relaxed structure of ZrScB4 (GGA-PBE, the Open Quantum Materials Database).

Geometry as CIF:
```
data_ZrScB4
_chemical_formula_sum 'Zr1 Sc1 B4'
_symmetry_space_group_name_H-M 'P 1'
_symmetry_Int_Tables_number 1
_symmetry_space_group_name_Hall 'P 1'
_cell_length_a 3.1559
_cell_length_b 3.1559
_cell_length_c 7.0814
_cell_angle_alpha 90.00
_cell_angle_beta 90.00
_cell_angle_gamma 120.00
loop_
_atom_site_label
_atom_site_fract_x
_atom_site_fract_y
_atom_site_fract_z
B1 0.6667 0.3333 0.7472
B2 0.3333 0.6667 0.7472
B3 0.3333 0.6667 0.2528
B4 0.6667 0.3333 0.2528
Zr1 0.0000 0.0000 0.0000
Sc1 0.0000 0.0000 0.5000
```

# ZrScB2

A relaxed structure of ZrScB2 (GGA-PBE, the Open Quantum Materials Database).

Geometry as CIF:
```
data_ZrScB2
_chemical_formula_sum 'Zr1 Sc1 B2'
_symmetry_space_group_name_H-M 'P 1'
_symmetry_Int_Tables_number 1
_symmetry_space_group_name_Hall 'P 1'
_cell_length_a 4.2421
_cell_length_b 4.2421
_cell_length_c 4.2421
_cell_angle_alpha 60.00
_cell_angle_beta 60.00
_cell_angle_gamma 60.00
loop_
_atom_site_label
_atom_site_fract_x
_atom_site_fract_y
_atom_site_fract_z
B1 0.0000 0.0000 0.0000
B2 0.2500 0.2500 0.2500
Zr1 0.7500 0.7500 0.7500
Sc1 0.5000 0.5000 0.5000
```

# SmSiB

A relaxed structure of SmSiB (GGA-PBE, the Open Quantum Materials Database).

Geometry as CIF:
```
data_SmSiB
_chemical_formula_sum 'Sm1 Si1 B1'
_symmetry_space_group_name_H-M 'P 1'
_symmetry_Int_Tables_number 1
_symmetry_space_group_name_Hall 'P 1'
_cell_length_a 4.1926
_cell_length_b 4.1926
_cell_length_c 4.1926
_cell_angle_alpha 60.00
_cell_angle_beta 60.00
_cell_angle_gamma 60.00
loop_
_atom_site_label
_atom_site_fract_x
_atom_site_fract_y
_atom_site_fract_z
Si1 0.2500 0.2500 0.2500
Sm1 0.7500 0.7500 0.7500
B1 0.0000 0.0000 0.0000
```

excess energy over the best structure of this formula in the dataset	0	meV/atom

# SmSiB

A relaxed structure of SmSiB (GGA-PBE, the Open Quantum Materials Database).

Geometry as CIF:
```
data_SmSiB
_chemical_formula_sum 'Sm1 Si1 B1'
_symmetry_space_group_name_H-M 'P 1'
_symmetry_Int_Tables_number 1
_symmetry_space_group_name_Hall 'P 1'
_cell_length_a 4.5173
_cell_length_b 4.5173
_cell_length_c 4.5173
_cell_angle_alpha 60.00
_cell_angle_beta 60.00
_cell_angle_gamma 60.00
loop_
_atom_site_label
_atom_site_fract_x
_atom_site_fract_y
_atom_site_fract_z
Sm1 0.0000 0.0000 0.0000
B1 0.2500 0.2500 0.2500
Si1 0.7500 0.7500 0.7500
```

excess energy over the best structure of this formula in the dataset	703	meV/atom

# Ta2SiB2

A relaxed structure of Ta2SiB2 (GGA-PBE, the Open Quantum Materials Database).

Geometry as CIF:
```
data_Ta2SiB2
_chemical_formula_sum 'Ta2 Si1 B2'
_symmetry_space_group_name_H-M 'P 1'
_symmetry_Int_Tables_number 1
_symmetry_space_group_name_Hall 'P 1'
_cell_length_a 5.8248
_cell_length_b 5.8248
_cell_length_c 3.3167
_cell_angle_alpha 90.00
_cell_angle_beta 90.00
_cell_angle_gamma 148.63
loop_
_atom_site_label
_atom_site_fract_x
_atom_site_fract_y
_atom_site_fract_z
Si1 0.0000 0.0000 0.0000
Ta1 0.3664 0.6336 0.5000
Ta2 0.6336 0.3664 0.5000
B1 0.7896 0.2104 0.0000
B2 0.2104 0.7896 0.0000
```

# TaSiB4

A relaxed structure of TaSiB4 (GGA-PBE, the Open Quantum Materials Database).

Geometry as CIF:
```
data_TaSiB4
_chemical_formula_sum 'Ta1 Si1 B4'
_symmetry_space_group_name_H-M 'P 1'
_symmetry_Int_Tables_number 1
_symmetry_space_group_name_Hall 'P 1'
_cell_length_a 3.0263
_cell_length_b 3.0263
_cell_length_c 7.0319
_cell_angle_alpha 90.00
_cell_angle_beta 90.00
_cell_angle_gamma 120.00
loop_
_atom_site_label
_atom_site_fract_x
_atom_site_fract_y
_atom_site_fract_z
B1 0.6667 0.3333 0.7471
B2 0.3333 0.6667 0.7471
B3 0.6667 0.3333 0.2529
B4 0.3333 0.6667 0.2529
Si1 0.0000 0.0000 0.0000
Ta1 0.0000 0.0000 0.5000
```

excess energy over the best structure of this formula in the dataset	0	meV/atom

# TaSiB

A relaxed structure of TaSiB (GGA-PBE, the Open Quantum Materials Database).

Geometry as CIF:
```
data_TaSiB
_chemical_formula_sum 'Ta1 Si1 B1'
_symmetry_space_group_name_H-M 'P 1'
_symmetry_Int_Tables_number 1
_symmetry_space_group_name_Hall 'P 1'
_cell_length_a 4.0492
_cell_length_b 4.0492
_cell_length_c 4.0492
_cell_angle_alpha 60.00
_cell_angle_beta 60.00
_cell_angle_gamma 60.00
loop_
_atom_site_label
_atom_site_fract_x
_atom_site_fract_y
_atom_site_fract_z
Ta1 0.0000 0.0000 0.0000
Si1 0.7500 0.7500 0.7500
B1 0.2500 0.2500 0.2500
```

excess energy over the best structure of this formula in the dataset	479	meV/atom

# Ta2SiB

A relaxed structure of Ta2SiB (GGA-PBE, the Open Quantum Materials Database).

Geometry as CIF:
```
data_Ta2SiB
_chemical_formula_sum 'Ta4 Si2 B2'
_symmetry_space_group_name_H-M 'P 1'
_symmetry_Int_Tables_number 1
_symmetry_space_group_name_Hall 'P 1'
_cell_length_a 3.2614
_cell_length_b 3.2614
_cell_length_c 12.5254
_cell_angle_alpha 90.00
_cell_angle_beta 90.00
_cell_angle_gamma 120.00
loop_
_atom_site_label
_atom_site_fract_x
_atom_site_fract_y
_atom_site_fract_z
Si1 0.6667 0.3333 0.2500
Si2 0.3333 0.6667 0.7500
Ta1 0.3333 0.6667 0.3997
Ta2 0.6667 0.3333 0.6003
Ta3 0.3333 0.6667 0.1003
Ta4 0.6667 0.3333 0.8997
B1 0.0000 0.0000 0.0000
B2 0.0000 0.0000 0.5000
```

What uncorrected energy values result from the calculations? In sequence: -7.848; -5.905; -5.449; -4.746; -8.917; -7.382; -7.078; -9.505 eV per atom.